Compound: LiHfRe
Source: the Open Quantum Materials Database
Functional: PBE
Structure: optimized geometry

**Volume**: 49.5 Å³/f.u.
**VASP energy**: -21.796 eV for the cell shown

CIF file:
```
data_LiHfRe
_chemical_formula_sum 'Li1 Hf1 Re1'
_space_group_name_H-M_alt 'P 1'
_space_group_IT_number 1
_cell_length_a 4.121
_cell_length_b 4.121
_cell_length_c 4.121
_cell_angle_alpha 60.00
_cell_angle_beta 60.00
_cell_angle_gamma 60.00
loop_
_space_group_symop_operation_xyz
'x,y,z'
loop_
_atom_site_label
_atom_site_type_symbol
_atom_site_fract_x
_atom_site_fract_y
_atom_site_fract_z
Li1 Li 0.000 0.000 0.000
Hf1 Hf 0.750 0.750 0.750
Re1 Re 0.250 0.250 0.250
```